No. 1
Below is an optimized crystal structure of NaDy2NpO6, with properties calculated at the PBE level.

Cell lengths 5.8424, 5.8424, 15.3326 Å; angles 90.00, 90.00, 120.00 degrees
Space group R3 (No. 146, hexagonal axes)
Symmetry-distinct sites (fractional):
Na 0.0000 0.0000 0.0000 [3 per cell]
Dy 0.0000 0.0000 0.2712 [3 per cell]
Dy 0.0000 0.0000 0.7815 [3 per cell]
Np 0.0000 0.0000 0.4803 [3 per cell]
O 0.0210 0.3442 0.5428 [9 per cell]
O 0.0280 0.7410 0.3873 [9 per cell]

No. 2
Below is an optimized crystal structure of TiSb3C, with properties calculated at the PBE level.

Cell lengths 5.2022, 5.2022, 5.2022 Å; angles 90.00, 90.00, 90.00 degrees
Space group Pm-3m (No. 221)
Symmetry-distinct sites (fractional):
Ti 0.0000 0.0000 0.0000 [1 per cell]
Sb 0.0000 0.0000 0.5000 [3 per cell]
C 0.5000 0.5000 0.5000 [1 per cell]

Summary of total DFT energy (no corrections) in eV per cell
-251.0, -22.3
(order as listed above)
Summary of total magnetization in μB/atom
0.200, 0.471
(order as listed above)